Entry 1:
## ZnCd2In (meta-GGA SCAN)

Data for ZnCd2In at its PBEsol-relaxed geometry.

Geometry as extended XYZ:
```
4
Lattice="3.015 0.000 0.000 0.000 3.155 0.000 0.000 0.000 8.538" Properties=species:S:1:pos:R:3 pbc="T T T"
Zn 0.000 0.000 0.000
Cd 0.000 0.000 4.475
Cd 1.508 1.578 6.668
In 1.508 1.578 2.072
```

Properties
E above lowest polymorph, meV per atom: 15
Raw total energy, eV/cell: -107.3
ΔH_f (0 K), eV per atom: 0.097

Entry 2:
## ZrCd2In (meta-GGA SCAN)

Data for ZrCd2In at its PBEsol-relaxed geometry.

Geometry as extended XYZ:
```
4
Lattice="3.051 0.000 0.000 0.000 4.829 0.000 -0.010 0.000 5.803" Properties=species:S:1:pos:R:3 pbc="T T T"
Zr 0.000 0.000 0.000
Cd 1.510 2.414 4.433
Cd 1.532 2.414 1.369
In 1.521 0.000 2.901
```

Properties
Raw total energy, eV/cell: -125.5
ΔH_f (0 K), eV per atom: -0.144

Entry 3:
## Zr2CdIn (meta-GGA SCAN)

Data for Zr2CdIn at its PBEsol-relaxed geometry.

Geometry as extended XYZ:
```
4
Lattice="-1.629 2.572 5.065 1.629 -2.572 5.065 1.629 2.572 -5.065" Properties=species:S:1:pos:R:3 pbc="T T T"
Zr 0.000 0.000 0.000
Zr 0.000 2.572 2.503
Cd 1.629 0.000 2.561
In 0.000 0.000 4.928
```

Properties
Raw total energy, eV/cell: -126.3
ΔH_f (0 K), eV per atom: -0.264